# meta-GGA SCAN KBaTa2, single point on PBEsol structure
# Volume ... 348 Å³ per cell
# Total moment ... 0.00 μB/f.u.
# E above lowest polymorph ... 0.0000 eV/atom
data_KBaTa2
_cell_length_a 3.3945
_cell_length_b 3.3945
_cell_length_c 34.8784
_cell_angle_alpha 90.00
_cell_angle_beta 90.00
_cell_angle_gamma 120.00
_symmetry_space_group_name_H-M 'R 3 m'
_symmetry_Int_Tables_number 160
_symmetry_space_group_name_Hall 'R 3 -2"'
loop_
_atom_site_label
_atom_site_type_symbol
_atom_site_fract_x
_atom_site_fract_y
_atom_site_fract_z
K1 K 0.0000 0.0000 0.0000
Ba1 Ba 0.0000 0.0000 0.2200
Ta1 Ta 0.0000 0.0000 0.4723
Ta2 Ta 0.0000 0.0000 0.7544



# meta-GGA SCAN Re2PtAu, single point on PBEsol structure
# Volume ... 124 Å³ per cell
# Total moment ... 0.00 μB/f.u.
# E above lowest polymorph ... 0.0357 eV/atom
data_Re2PtAu
_cell_length_a 2.830
_cell_length_b 4.624
_cell_length_c 9.482
_cell_angle_alpha 90.00
_cell_angle_beta 90.00
_cell_angle_gamma 90.00
_symmetry_space_group_name_H-M 'C m m 2'
_symmetry_Int_Tables_number 35
loop_
_symmetry_equiv_pos_as_xyz
'x,y,z'
'-x,-y,z'
'-x,y,z'
'x,-y,z'
'x+1/2,y+1/2,z'
'-x+1/2,-y+1/2,z'
'-x+1/2,y+1/2,z'
'x+1/2,-y+1/2,z'
loop_
_atom_site_label
_atom_site_type_symbol
_atom_site_fract_x
_atom_site_fract_y
_atom_site_fract_z
Re1 Re 0.000 0.000 0.000
Re2 Re 0.000 0.500 0.229
Pt1 Pt 0.000 0.000 0.477
Au1 Au 0.000 0.500 0.737



# meta-GGA SCAN BiS2NO, single point on PBEsol structure
# Volume ... 121 Å³ per cell
# Total moment ... 5.20 μB/f.u.
# Formation energy without anion corrections ... 164 kJ per mole of atoms
data_BiS2NO
_cell_length_a 5.202
_cell_length_b 5.202
_cell_length_c 4.476
_cell_angle_alpha 90.00
_cell_angle_beta 90.00
_cell_angle_gamma 90.00
_symmetry_space_group_name_H-M 'P 4/m m m'
_symmetry_Int_Tables_number 123
_symmetry_space_group_name_Hall '-P 4 2'
loop_
_atom_site_label
_atom_site_type_symbol
_atom_site_fract_x
_atom_site_fract_y
_atom_site_fract_z
Bi1 Bi 0.000 0.000 0.000
S1 S 0.000 0.500 0.000
N1 N 0.000 0.000 0.500
O1 O 0.500 0.500 0.500



# meta-GGA SCAN Ta3SnS6, single point on PBEsol structure
# Volume ... 410 Å³ per cell
# Total moment ... 0.00 μB/f.u.
# Formation energy without anion corrections ... -103 kJ per mole of atoms
data_Ta3SnS6
_cell_length_a 5.7230
_cell_length_b 5.7230
_cell_length_c 14.4714
_cell_angle_alpha 90.00
_cell_angle_beta 90.00
_cell_angle_gamma 120.00
_symmetry_space_group_name_H-M 'P 63/m c m'
_symmetry_Int_Tables_number 193
_symmetry_space_group_name_Hall '-P 6c 2'
loop_
_atom_site_label
_atom_site_type_symbol
_atom_site_fract_x
_atom_site_fract_y
_atom_site_fract_z
Ta1 Ta 0.0000 0.0000 0.2500
Ta2 Ta 0.3333 0.6667 0.2500
Sn1 Sn 0.0000 0.0000 0.0000
S1 S 0.0000 0.3359 0.1424



Which of these has the highest volume?
Ta3SnS6



What is the total moment in the second record?
0.00 μB/f.u.



Look up the volume of the fourth one.
410 Å³ per cell